Record 1
First-principles (GGA-PBE) data for a relaxed structure of YGe2Pd, as listed in the Alexandria database.

As for the crystal system: orthorhombic. For the calculated total energy, the calculation gives -5.747 eV per atom. The total magnetization is 0.0 μB/cell. The formation energy comes out at -202 kJ/mol of formula units. The calculated density comes out at 7.04 Mg/m³.

It has space group Cmmm (No. 65), with a = 5.458 Å, b = 8.796 Å, c = 3.348 Å, α = 90.00°, β = 90.00° and γ = 90.00°. The inequivalent atoms are Y at (0.000, 0.000, 0.000), Ge at (0.250, 0.250, 0.500) and Pd at (0.000, 0.500, 0.500).


Record 2
First-principles (GGA-PBE) data for a relaxed structure of YGe2Pd, as listed in the Alexandria database.

As for the crystal system: trigonal. For the calculated total energy, the calculation gives -5.939 eV per atom. The total magnetization is 0.0 μB/cell. The formation energy comes out at -276 kJ/mol of formula units. The calculated density comes out at 7.23 Mg/m³.

It has space group R-3m (No. 166, hexagonal axes), with a = 4.2218 Å, b = 4.2218 Å, c = 15.1962 Å, α = 90.00°, β = 90.00° and γ = 120.00°. The inequivalent atoms are Y at (0.0000, 0.0000, 0.0000), Ge at (0.0000, 0.0000, 0.2231) and Pd at (0.0000, 0.0000, 0.5000).


Record 3
First-principles (GGA-PBE) data for a relaxed structure of Y2Ge2Pd3, as listed in the Alexandria database.

As for the crystal system: monoclinic. For the calculated total energy, the calculation gives -6.285 eV per atom. The total magnetization is 0.0 μB/cell. The formation energy comes out at -603 kJ/mol of formula units. The calculated density comes out at 8.00 Mg/m³.

It has space group C2/m (No. 12), with a = 10.340 Å, b = 3.983 Å, c = 7.044 Å, α = 90.00°, β = 113.19° and γ = 90.00°. The inequivalent atoms are Y at (0.129, 0.000, 0.265), Ge at (0.156, 0.000, 0.716), Pd at (0.000, 0.500, 0.500) and Pd at (0.122, 0.500, 0.935).


Record 4
First-principles (GGA-PBE) data for a relaxed structure of YGe3Pd, as listed in the Alexandria database.

As for the crystal system: monoclinic. For the calculated total energy, the calculation gives -5.625 eV per atom. The total magnetization is 0.0 μB/cell. The formation energy comes out at -252 kJ/mol of formula units. The calculated density comes out at 6.76 Mg/m³.

It has space group P2_1 (No. 4), with a = 5.631 Å, b = 5.877 Å, c = 6.147 Å, α = 90.00°, β = 93.08° and γ = 90.00°. The inequivalent atoms are Y at (0.141, 0.000, 0.308), Ge at (0.087, 0.054, 0.796), Ge at (0.298, 0.430, 0.996), Ge at (0.304, 0.468, 0.453) and Pd at (0.389, 0.751, 0.744).


Record 5
First-principles (GGA-PBE) data for a relaxed structure of Y3Ge4Pd2, as listed in the Alexandria database.

The value obtained for the polymorph energy (0 for the lowest one) is 1.52 kJ per mole of atoms. As for the crystal system: monoclinic. For the calculated total energy, the calculation gives -6.222 eV per atom. The total magnetization is 0.0 μB/cell. The formation energy comes out at -748 kJ/mol of formula units. The calculated density comes out at 6.81 Mg/m³.

It has space group C2/m (No. 12), with a = 10.800 Å, b = 4.331 Å, c = 8.318 Å, α = 90.00°, β = 105.12° and γ = 90.00°. The inequivalent atoms are Y at (0.000, 0.000, 0.000), Y at (0.164, 0.500, 0.665), Ge at (0.061, 0.000, 0.392), Ge at (0.228, 0.500, 0.067) and Pd at (0.106, 0.500, 0.277).


Record 6
First-principles (GGA-PBE) data for a relaxed structure of YGePd3, as listed in the Alexandria database.

The value obtained for the polymorph energy (0 for the lowest one) is 26.08 kJ per mole of atoms. As for the crystal system: cubic. For the calculated total energy, the calculation gives -5.773 eV per atom. The total magnetization is 0.0 μB/cell. The formation energy comes out at -213 kJ/mol of formula units. The calculated density comes out at 7.76 Mg/m³.

It has space group Pm-3m (No. 221), with a = 4.685 Å, b = 4.685 Å, c = 4.685 Å, α = 90.00°, β = 90.00° and γ = 90.00°. The inequivalent atoms are Y at (0.000, 0.000, 0.000), Ge at (0.500, 0.500, 0.500) and Pd at (0.000, 0.500, 0.500).


Record 7
First-principles (GGA-PBE) data for a relaxed structure of Y3Ge2Pd6, as listed in the Alexandria database.

As for the crystal system: cubic. For the calculated total energy, the calculation gives -6.242 eV per atom. The total magnetization is 0.0 μB/cell. The formation energy comes out at -856 kJ/mol of formula units. The calculated density comes out at 8.26 Mg/m³.

It has space group Im-3m (No. 229), with a = 9.454 Å, b = 9.454 Å, c = 9.454 Å, α = 90.00°, β = 90.00° and γ = 90.00°. The inequivalent atoms are Y at (0.000, 0.000, 0.288), Ge at (0.250, 0.250, 0.250) and Pd at (0.000, 0.329, 0.329).


Record 8
First-principles (GGA-PBE) data for a relaxed structure of Y2GePd, as listed in the Alexandria database.

As for the crystal system: trigonal. For the calculated total energy, the calculation gives -5.817 eV per atom. The total magnetization is 0.0 μB/cell. The formation energy comes out at -51 kJ/mol of formula units. The calculated density comes out at 5.84 Mg/m³.

It has space group R-3m (No. 166, hexagonal axes), with a = 3.5272 Å, b = 3.5272 Å, c = 28.2685 Å, α = 90.00°, β = 90.00° and γ = 120.00°. The inequivalent atoms are Y at (0.0000, 0.0000, 0.0929), Ge at (0.0000, 0.0000, 0.5000) and Pd at (0.0000, 0.0000, 0.0000).


Record 9
First-principles (GGA-PBE) data for a relaxed structure of YGe2Pd, as listed in the Alexandria database.

As for the crystal system: tetragonal. For the calculated total energy, the calculation gives -5.686 eV per atom. The total magnetization is 0.0 μB/cell. The formation energy comes out at -179 kJ/mol of formula units. The calculated density comes out at 6.48 Mg/m³.

It has space group I-42d (No. 122), with a = 4.430 Å, b = 4.430 Å, c = 17.787 Å, α = 90.00°, β = 90.00° and γ = 90.00°. The inequivalent atoms are Y at (0.000, 0.000, 0.000), Ge at (0.155, 0.250, 0.625) and Pd at (0.000, 0.000, 0.500).


Record 10
First-principles (GGA-PBE) data for a relaxed structure of Y2GePd, as listed in the Alexandria database.

As for the crystal system: tetragonal. For the calculated total energy, the calculation gives -5.806 eV per atom. The total magnetization is 0.0 μB/cell. The formation energy comes out at -47 kJ/mol of formula units. The calculated density comes out at 4.53 Mg/m³.

It has space group I-42d (No. 122), with a = 6.012 Å, b = 6.012 Å, c = 14.483 Å, α = 90.00°, β = 90.00° and γ = 90.00°. The inequivalent atoms are Y at (0.250, 0.250, 0.125), Ge at (0.000, 0.000, 0.000) and Pd at (0.000, 0.000, 0.500).


Record 11
First-principles (GGA-PBE) data for a relaxed structure of YGe3Pd5, as listed in the Alexandria database.

As for the crystal system: orthorhombic. For the calculated total energy, the calculation gives -5.722 eV per atom. The total magnetization is 0.0 μB/cell. The formation energy comes out at -503 kJ/mol of formula units. The calculated density comes out at 8.51 Mg/m³.

It has space group Cmcm (No. 63), with a = 3.793 Å, b = 13.249 Å, c = 13.036 Å, α = 90.00°, β = 90.00° and γ = 90.00°. The inequivalent atoms are Y at (0.000, 0.124, 0.250), Ge at (0.000, 0.125, 0.750), Ge at (0.000, 0.379, 0.542), Pd at (0.000, 0.000, 0.000), Pd at (0.000, 0.202, 0.575) and Pd at (0.000, 0.456, 0.147).


Record 12
First-principles (GGA-PBE) data for a relaxed structure of Y2Ge3Pd, as listed in the Alexandria database.

The value obtained for the polymorph energy (0 for the lowest one) is 0.00 kJ per mole of atoms. As for the crystal system: orthorhombic. For the calculated total energy, the calculation gives -6.140 eV per atom. The total magnetization is 0.0 μB/cell. The formation energy comes out at -470 kJ/mol of formula units. The calculated density comes out at 6.63 Mg/m³.

It has space group Fmmm (No. 69), with a = 8.109 Å, b = 8.436 Å, c = 14.706 Å, α = 90.00°, β = 90.00° and γ = 90.00°. The inequivalent atoms are Y at (0.246, 0.000, 0.000), Y at (0.250, 0.250, 0.250), Ge at (0.000, 0.000, 0.168), Ge at (0.000, 0.247, 0.416) and Pd at (0.000, 0.000, 0.333).


Record 13
First-principles (GGA-PBE) data for a relaxed structure of YGe2Pd, as listed in the Alexandria database.

As for the crystal system: monoclinic. For the calculated total energy, the calculation gives -5.991 eV per atom. The total magnetization is 0.0 μB/cell. The formation energy comes out at -297 kJ/mol of formula units. The calculated density comes out at 7.19 Mg/m³.

It has space group C2/m (No. 12), with a = 17.021 Å, b = 8.809 Å, c = 4.343 Å, α = 90.00°, β = 104.78° and γ = 90.00°. The inequivalent atoms are Y at (0.000, 0.239, 0.000), Y at (0.202, 0.000, 0.202), Ge at (0.074, 0.000, 0.576), Ge at (0.075, 0.500, 0.568), Ge at (0.197, 0.350, 0.198) and Pd at (0.148, 0.250, 0.649).


Record 14
First-principles (GGA-PBE) data for a relaxed structure of YGe2Pd, as listed in the Alexandria database.

As for the crystal system: tetragonal. For the calculated total energy, the calculation gives -5.808 eV per atom. The total magnetization is 0.0 μB/cell. The formation energy comes out at -226 kJ/mol of formula units. The calculated density comes out at 7.45 Mg/m³.

It has space group P4/mmm (No. 123), with a = 4.268 Å, b = 4.268 Å, c = 4.167 Å, α = 90.00°, β = 90.00° and γ = 90.00°. The inequivalent atoms are Y at (0.000, 0.000, 0.000), Ge at (0.000, 0.500, 0.500) and Pd at (0.500, 0.500, 0.000).


Record 15
First-principles (GGA-PBE) data for a relaxed structure of Y2Ge6Pd21, as listed in the Alexandria database.

As for the crystal system: cubic. For the calculated total energy, the calculation gives -5.720 eV per atom. The total magnetization is 0.0 μB/cell. The formation energy comes out at -1564 kJ/mol of formula units. The calculated density comes out at 9.82 Mg/m³.

It has space group Fm-3m (No. 225), with a = 12.443 Å, b = 12.443 Å, c = 12.443 Å, α = 90.00°, β = 90.00° and γ = 90.00°. The inequivalent atoms are Y at (0.250, 0.250, 0.250), Ge at (0.000, 0.000, 0.234), Pd at (0.000, 0.000, 0.500), Pd at (0.000, 0.173, 0.327) and Pd at (0.118, 0.118, 0.118).


Record 16
First-principles (GGA-PBE) data for a relaxed structure of YGe6Pd12, as listed in the Alexandria database.

As for the crystal system: trigonal. For the calculated total energy, the calculation gives -5.556 eV per atom. The total magnetization is 0.0 μB/cell. The formation energy comes out at -877 kJ/mol of formula units. The calculated density comes out at 9.21 Mg/m³.

It has space group R-3m (No. 166, hexagonal axes), with a = 11.5526 Å, b = 11.5526 Å, c = 8.4354 Å, α = 90.00°, β = 90.00° and γ = 120.00°. The inequivalent atoms are Y at (0.0000, 0.0000, 0.0000), Ge at (0.0414, 0.5207, 0.2621), Pd at (0.0000, 0.3775, 0.5000) and Pd at (0.0843, 0.1686, 0.3306).


Record 17
First-principles (GGA-PBE) data for a relaxed structure of YGePd3, as listed in the Alexandria database.

The value obtained for the polymorph energy (0 for the lowest one) is 131.09 kJ per mole of atoms. As for the crystal system: cubic. For the calculated total energy, the calculation gives -4.685 eV per atom. The total magnetization is 0.0 μB/cell. The formation energy comes out at 312 kJ/mol of formula units. The calculated density comes out at 6.24 Mg/m³.

It has space group Pm-3m (No. 221), with a = 5.039 Å, b = 5.039 Å, c = 5.039 Å, α = 90.00°, β = 90.00° and γ = 90.00°. The inequivalent atoms are Y at (0.000, 0.000, 0.000), Ge at (0.500, 0.500, 0.500) and Pd at (0.000, 0.000, 0.500).


Record 18
First-principles (GGA-PBE) data for a relaxed structure of YGe2Pd7, as listed in the Alexandria database.

As for the crystal system: tetragonal. For the calculated total energy, the calculation gives -5.844 eV per atom. The total magnetization is 0.0 μB/cell. The formation energy comes out at -617 kJ/mol of formula units. The calculated density comes out at 9.46 Mg/m³.

It has space group I4/mmm (No. 139), with a = 4.099 Å, b = 4.099 Å, c = 20.448 Å, α = 90.00°, β = 90.00° and γ = 90.00°. The inequivalent atoms are Y at (0.000, 0.000, 0.000), Ge at (0.000, 0.000, 0.325), Pd at (0.000, 0.000, 0.500), Pd at (0.000, 0.500, 0.104) and Pd at (0.000, 0.500, 0.250).


Record 19
First-principles (GGA-PBE) data for a relaxed structure of YGe2Pd, as listed in the Alexandria database.

As for the crystal system: cubic. For the calculated total energy, the calculation gives -5.678 eV per atom. The total magnetization is 0.0 μB/cell. The formation energy comes out at -176 kJ/mol of formula units. The calculated density comes out at 7.39 Mg/m³.

It has space group Fm-3m (No. 225), with a = 6.741 Å, b = 6.741 Å, c = 6.741 Å, α = 90.00°, β = 90.00° and γ = 90.00°. The inequivalent atoms are Y at (0.000, 0.000, 0.000), Ge at (0.250, 0.250, 0.250) and Pd at (0.000, 0.000, 0.500).


Record 20
First-principles (GGA-PBE) data for a relaxed structure of YGe3Pd, as listed in the Alexandria database.

As for the crystal system: cubic. For the calculated total energy, the calculation gives -4.125 eV per atom. The total magnetization is 0.0 μB/cell. The formation energy comes out at 471 kJ/mol of formula units. The calculated density comes out at 4.57 Mg/m³.

It has space group Pm-3m (No. 221), with a = 5.314 Å, b = 5.314 Å, c = 5.314 Å, α = 90.00°, β = 90.00° and γ = 90.00°. The inequivalent atoms are Y at (0.000, 0.000, 0.000), Ge at (0.000, 0.000, 0.500) and Pd at (0.500, 0.500, 0.500).


Record 21
First-principles (GGA-PBE) data for a relaxed structure of YGePd5, as listed in the Alexandria database.

As for the crystal system: tetragonal. For the calculated total energy, the calculation gives -6.019 eV per atom. The total magnetization is 0.0 μB/cell. The formation energy comes out at -491 kJ/mol of formula units. The calculated density comes out at 9.55 Mg/m³.

It has space group P4/mmm (No. 123), with a = 4.086 Å, b = 4.086 Å, c = 7.225 Å, α = 90.00°, β = 90.00° and γ = 90.00°. The inequivalent atoms are Y at (0.000, 0.000, 0.000), Ge at (0.500, 0.500, 0.500), Pd at (0.000, 0.500, 0.294) and Pd at (0.500, 0.500, 0.000).


Record 22
First-principles (GGA-PBE) data for a relaxed structure of YGePd3, as listed in the Alexandria database.

The value obtained for the polymorph energy (0 for the lowest one) is 26.03 kJ per mole of atoms. As for the crystal system: tetragonal. For the calculated total energy, the calculation gives -5.774 eV per atom. The total magnetization is 0.0 μB/cell. The formation energy comes out at -213 kJ/mol of formula units. The calculated density comes out at 7.24 Mg/m³.

It has space group I-4m2 (No. 119), with a = 5.197 Å, b = 5.197 Å, c = 16.334 Å, α = 90.00°, β = 90.00° and γ = 90.00°. The inequivalent atoms are Y at (0.000, 0.000, 0.136), Ge at (0.000, 0.000, 0.500), Ge at (0.000, 0.500, 0.750), Pd at (0.000, 0.246, 0.627) and Pd at (0.000, 0.500, 0.035).